# PuPb2Br8 | Alexandria | PBE | relaxed
# Symmetry ... C2/m
# Size of the total moment ... 4.00 μB/cell
# Final energy ... -46.61 eV/cell
# Uncorrected formation energy ... -100.66 kJ per mole of atoms
data_PuPb2Br8
_cell_length_a 7.041
_cell_length_b 7.952
_cell_length_c 7.952
_cell_angle_alpha 74.63
_cell_angle_beta 105.28
_cell_angle_gamma 105.28
_symmetry_space_group_name_H-M 'P 1'
_symmetry_Int_Tables_number 1
loop_
_symmetry_equiv_pos_as_xyz
'x,y,z'
loop_
_atom_site_label
_atom_site_type_symbol
_atom_site_fract_x
_atom_site_fract_y
_atom_site_fract_z
Pu1 Pu 0.000 0.000 0.000
Pb1 Pb 0.461 0.665 0.665
Pb2 Pb 0.539 0.335 0.335
Br1 Br 0.245 0.346 0.951
Br2 Br 0.755 0.049 0.654
Br3 Br 0.246 0.877 0.877
Br4 Br 0.754 0.123 0.123
Br5 Br 0.245 0.951 0.346
Br6 Br 0.755 0.654 0.049
Br7 Br 0.784 0.576 0.576
Br8 Br 0.216 0.424 0.424